# NaZrPaO6 (PBE-GGA, optimized geometry)
data_NaZrPaO6
_cell_length_a 5.6590
_cell_length_b 5.6590
_cell_length_c 4.8449
_cell_angle_alpha 90.00
_cell_angle_beta 90.00
_cell_angle_gamma 120.00
_space_group_name_H-M_alt 'P 3 1 2'
_space_group_IT_number 149
loop_
_space_group_symop_operation_xyz
'x,y,z'
'-y,x-y,z'
'-x+y,-x,z'
'-y,-x,-z'
'-x+y,y,-z'
'x,x-y,-z'
loop_
_atom_site_label
_atom_site_fract_x
_atom_site_fract_y
_atom_site_fract_z
Na1 0.0000 0.0000 0.0000
Zr1 0.3333 0.6667 0.0000
Pa1 0.6667 0.3333 0.5000
O1 0.0014 0.3782 0.2396
# E   -7.99 eV per atom
# Formation energy from raw total energies   -2.529 eV per atom